i | Compound: La2Be
Source: the Alexandria database
Functional: PBE-GGA
Structure: relaxed

## Properties
calculated volume = 28.9 A^3/atom

Lattice parameters (Å, degrees): 13.7001 13.7001 13.7001 164.94 164.94 21.36
Closest atoms and distances in Å follow each position.
Atoms (fractional coordinates):
La1 0.3132 0.5632 0.7500  4 Be 3.04, 1 La 3.33
La2 0.4368 0.6868 0.7500  4 Be 3.04, 1 La 3.33
La3 0.5632 0.3132 0.2500  4 Be 3.04, 1 La 3.33
La4 0.6868 0.4368 0.2500  4 Be 3.04, 1 La 3.33
Be1 0.1250 0.8750 0.2500  8 La 3.04
Be2 0.8750 0.1250 0.7500  8 La 3.04

***

ii | Compound: La2Be
Source: the Alexandria database
Functional: PBE-GGA
Structure: relaxed

## Properties
calculated volume = 28.9 A^3/atom

Lattice parameters (Å, degrees): 6.5968 6.5968 7.0165 90.00 90.00 145.45
Closest atoms and distances in Å follow each position.
Atoms (fractional coordinates):
La1 0.0212 0.9788 0.5000  4 Be 2.98-3.03
La2 0.2869 0.7131 0.3102  3 Be 3.01-3.18
La3 0.7131 0.2869 0.8102  3 Be 3.01-3.18
La4 0.9788 0.0212 0.0000  4 Be 2.98-3.03
Be1 0.3878 0.6122 0.7256  7 La 2.98-3.18
Be2 0.6122 0.3878 0.2256  7 La 2.98-3.18

***

Most stable structure - ii; separation to the second - 0.008 eV/atom.

***

i | Compound: La2Be
Source: the Alexandria database
Functional: PBE-GGA
Structure: relaxed

## Properties
calculated volume = 27.3 A^3/atom

Lattice parameters (Å, degrees): 7.8859 7.8859 4.5696 90.00 90.00 120.00
Closest atoms and distances in Å follow each position.
Atoms (fractional coordinates):
La1 0.0000 0.2794 0.0000  4 Be 2.87-3.17
La2 0.0000 0.6073 0.5000  5 Be 3.10-3.33, 2 La 3.45
La3 0.2794 0.0000 0.0000  4 Be 2.87-3.17
La4 0.3927 0.3927 0.5000  5 Be 3.10-3.33, 2 La 3.45
La5 0.6073 0.0000 0.5000  5 Be 3.10-3.33, 2 La 3.45
La6 0.7206 0.7206 0.0000  4 Be 2.87-3.17
Be1 0.0000 0.0000 0.5000  9 La 3.10-3.17
Be2 0.3333 0.6667 0.0000  3 La 2.87
Be3 0.6667 0.3333 0.0000  3 La 2.87

***

ii | Compound: La2Be
Source: the Alexandria database
Functional: PBE-GGA
Structure: relaxed

## Properties
calculated volume = 27.3 A^3/atom

Lattice parameters (Å, degrees): 6.8619 5.0702 9.4255 90.00 90.00 90.00
Closest atoms and distances in Å follow each position.
Atoms (fractional coordinates):
La1 0.0007 0.2500 0.1788  3 Be 3.03-3.08
La2 0.1614 0.2500 0.5865  4 Be 2.98-3.16
La3 0.3386 0.7500 0.0865  4 Be 2.98-3.16
La4 0.4993 0.7500 0.6788  3 Be 3.03-3.08
La5 0.5007 0.2500 0.3212  3 Be 3.03-3.08
La6 0.6614 0.2500 0.9135  4 Be 2.98-3.16
La7 0.8386 0.7500 0.4135  4 Be 2.98-3.16
La8 0.9993 0.7500 0.8212  3 Be 3.03-3.08
Be1 0.2279 0.2500 0.9036  7 La 2.98-3.16
Be2 0.2721 0.7500 0.4036  7 La 2.98-3.16
Be3 0.7279 0.2500 0.5964  7 La 2.98-3.16
Be4 0.7721 0.7500 0.0964  7 La 2.98-3.16

***

iii | Compound: La2Be
Source: the Alexandria database
Functional: PBE-GGA
Structure: relaxed

## Properties
calculated volume = 26.8 A^3/atom

Lattice parameters (Å, degrees): 5.0549 5.0549 7.2574 90.00 90.00 120.00
Closest atoms and distances in Å follow each position.
Atoms (fractional coordinates):
La1 0.0000 0.0000 0.0000  8 La 3.44-3.63, 6 Be 3.44
La2 0.0000 0.0000 0.5000  8 La 3.44-3.63, 6 Be 3.44
La3 0.3333 0.6667 0.2500  3 Be 2.92
La4 0.6667 0.3333 0.7500  3 Be 2.92
Be1 0.3333 0.6667 0.7500  3 La 2.92
Be2 0.6667 0.3333 0.2500  3 La 2.92

***

Most stable structure - ii; separation to the second - 0.020 eV/atom.

***

i | Compound: La5Be4
Source: the Alexandria database
Functional: PBE-GGA
Structure: relaxed

## Properties
calculated volume = 23.0 A^3/atom

Lattice parameters (Å, degrees): 7.2047 7.2047 7.2047 95.35 95.35 144.44
Closest atoms and distances in Å follow each position.
Atoms (fractional coordinates):
La1 0.0000 0.0000 0.0000  8 La 3.26
La2 0.3248 0.3248 0.6496  4 La 3.01-3.26, 2 Be 3.21
La3 0.3248 0.6752 0.0000  4 La 3.01-3.26, 2 Be 3.21
La4 0.6752 0.3248 0.0000  4 La 3.01-3.26, 2 Be 3.21
La5 0.6752 0.6752 0.3504  4 La 3.01-3.26, 2 Be 3.21
Be1 0.0000 0.3860 0.3860  1 Be 2.21
Be2 0.0000 0.6140 0.6140  1 Be 2.21
Be3 0.3860 0.0000 0.3860  1 Be 2.21
Be4 0.6140 0.0000 0.6140  1 Be 2.21

***

ii | Compound: La5Be4
Source: the Alexandria database
Functional: PBE-GGA
Structure: relaxed

## Properties
calculated volume = 25.9 A^3/atom

Lattice parameters (Å, degrees): 8.7662 8.7662 6.9948 90.00 90.00 120.00
Closest atoms and distances in Å follow each position.
Atoms (fractional coordinates):
La1 0.0000 0.2711 0.2500  5 Be 2.95-3.02
La2 0.0000 0.7289 0.7500  5 Be 2.95-3.02
La3 0.2711 0.0000 0.2500  5 Be 2.95-3.02
La4 0.2711 0.2711 0.7500  5 Be 2.95-3.02
La5 0.3333 0.6667 0.0000  6 Be 3.23, 2 La 3.50
La6 0.3333 0.6667 0.5000  6 Be 3.23, 2 La 3.50
La7 0.6667 0.3333 0.0000  6 Be 3.23, 2 La 3.50
La8 0.6667 0.3333 0.5000  6 Be 3.23, 2 La 3.50
La9 0.7289 0.0000 0.7500  5 Be 2.95-3.02
La10 0.7289 0.7289 0.2500  5 Be 2.95-3.02
Be1 0.0000 0.0000 0.0000  6 La 2.95
Be2 0.0000 0.0000 0.5000  6 La 2.95
Be3 0.0000 0.3878 0.7500  7 La 2.99-3.23
Be4 0.0000 0.6122 0.2500  7 La 2.99-3.23
Be5 0.3878 0.0000 0.7500  7 La 2.99-3.23
Be6 0.3878 0.3878 0.2500  7 La 2.99-3.23
Be7 0.6122 0.0000 0.2500  7 La 2.99-3.23
Be8 0.6122 0.6122 0.7500  7 La 2.99-3.23

***

Most stable structure - ii; separation to the second - 0.116 eV/atom.

***

i | Compound: LaBe3
Source: the Alexandria database
Functional: PBE-GGA
Structure: relaxed

## Properties
calculated volume = 15.6 A^3/atom

Lattice parameters (Å, degrees): 3.6771 5.9756 5.6727 90.00 90.00 90.00
Closest atoms and distances in Å follow each position.
Atoms (fractional coordinates):
La1 0.2500 0.2500 0.1072  8 Be 2.93-3.16
La2 0.7500 0.7500 0.8928  8 Be 2.93-3.16
Be1 0.2500 0.0634 0.5857  6 Be 2.15-2.23
Be2 0.2500 0.4366 0.5857  6 Be 2.15-2.23
Be3 0.2500 0.7500 0.3901  6 Be 2.15-2.18
Be4 0.7500 0.2500 0.6099  6 Be 2.15-2.18
Be5 0.7500 0.5634 0.4143  6 Be 2.15-2.23
Be6 0.7500 0.9366 0.4143  6 Be 2.15-2.23

***

ii | Compound: LaBe3
Source: the Alexandria database
Functional: PBE-GGA
Structure: relaxed

## Properties
calculated volume = 16.4 A^3/atom

Lattice parameters (Å, degrees): 6.4888 6.4888 3.6061 90.00 90.00 120.00
Closest atoms and distances in Å follow each position.
Atoms (fractional coordinates):
La1 0.3333 0.6667 0.2500  12 Be 3.08-3.30
La2 0.6667 0.3333 0.7500  12 Be 3.08-3.30
Be1 0.1108 0.2216 0.7500  6 Be 2.16-2.19
Be2 0.1108 0.8892 0.7500  6 Be 2.16-2.19
Be3 0.2216 0.1108 0.2500  6 Be 2.16-2.19
Be4 0.7784 0.8892 0.7500  6 Be 2.16-2.19
Be5 0.8892 0.1108 0.2500  6 Be 2.16-2.19
Be6 0.8892 0.7784 0.2500  6 Be 2.16-2.19

***

iii | Compound: LaBe3
Source: the Alexandria database
Functional: PBE-GGA
Structure: relaxed

## Properties
calculated volume = 16.2 A^3/atom

Lattice parameters (Å, degrees): 5.3302 5.3302 5.3302 117.18 117.18 117.18
Closest atoms and distances in Å follow each position.
Atoms (fractional coordinates):
La1 0.0000 0.0000 0.0000  2 La 2.72, 6 Be 2.78
Be1 0.0000 0.5000 0.5000  6 Be 2.72-2.78, 2 La 2.78
Be2 0.5000 0.0000 0.5000  6 Be 2.72-2.78, 2 La 2.78
Be3 0.5000 0.5000 0.0000  6 Be 2.72-2.78, 2 La 2.78

***

iv | Compound: LaBe3
Source: the Alexandria database
Functional: PBE-GGA
Structure: relaxed

## Properties
calculated volume = 16.2 A^3/atom

Lattice parameters (Å, degrees): 3.0640 3.6629 5.7609 90.00 90.00 90.00
Closest atoms and distances in Å follow each position.
Atoms (fractional coordinates):
La1 0.0000 0.0000 0.0000  6 Be 2.86-3.16, 2 La 3.06
Be1 0.0000 0.5000 0.5162  2 Be 2.08
Be2 0.5000 0.0000 0.4792  6 Be 2.18-2.40
Be3 0.5000 0.5000 0.2728  4 Be 2.08-2.18

***

Most stable structure - i; separation to the second - 0.093 eV/atom.

***

i | Compound: LaBe3
Source: the Alexandria database
Functional: PBE-GGA
Structure: relaxed

## Properties
calculated volume = 14.4 A^3/atom

Lattice parameters (Å, degrees): 2.8734 2.8734 6.9602 90.00 90.00 90.00
Closest atoms and distances in Å follow each position.
Atoms (fractional coordinates):
La1 0.0000 0.0000 0.0000  4 La 2.87, 8 Be 3.12
Be1 0.0000 0.0000 0.5000  8 Be 2.32
Be2 0.5000 0.5000 0.3398  5 Be 2.23-2.32
Be3 0.5000 0.5000 0.6602  5 Be 2.23-2.32

***

ii | Compound: LaBe3
Source: the Alexandria database
Functional: PBE-GGA
Structure: relaxed

## Properties
calculated volume = 16.9 A^3/atom

Lattice parameters (Å, degrees): 4.2807 4.2807 3.8036 90.00 90.00 104.59
Closest atoms and distances in Å follow each position.
Atoms (fractional coordinates):
La1 0.0000 0.0000 0.0000  2 Be 2.62
Be1 0.3493 0.6507 0.5000  3 Be 2.04-2.16
Be2 0.5000 0.5000 0.0000  4 Be 2.16
Be3 0.6507 0.3493 0.5000  3 Be 2.04-2.16

***

Most stable structure - ii; separation to the second - 0.030 eV/atom.

***

i | Compound: La3Be
Source: the Alexandria database
Functional: PBE-GGA
Structure: relaxed

## Properties
calculated volume = 27.7 A^3/atom

Lattice parameters (Å, degrees): 5.3921 5.3921 5.3921 60.00 60.00 60.00
Closest atoms and distances in Å follow each position.
Atoms (fractional coordinates):
La1 0.0000 0.0000 0.0000  8 La 3.30
La2 0.2500 0.2500 0.2500  4 La 3.30, 4 Be 3.30
La3 0.7500 0.7500 0.7500  4 La 3.30, 4 Be 3.30
Be1 0.5000 0.5000 0.5000  8 La 3.30

***

ii | Compound: La3Be
Source: the Alexandria database
Functional: PBE-GGA
Structure: relaxed

## Properties
calculated volume = 30.1 A^3/atom

Lattice parameters (Å, degrees): 3.6913 3.6913 8.8370 90.00 90.00 90.00
Closest atoms and distances in Å follow each position.
Atoms (fractional coordinates):
La1 0.0000 0.0000 0.0000  12 La 3.69-3.82
La2 0.5000 0.5000 0.3155  4 Be 3.08, 1 La 3.26
La3 0.5000 0.5000 0.6845  4 Be 3.08, 1 La 3.26
Be1 0.0000 0.0000 0.5000  8 La 3.08

***

Most stable structure - ii; separation to the second - 0.231 eV/atom.